1.
DFT (PBEsol) results for crystalline Tl2CdRu at its relaxed geometry.

Cell and atoms, written as POSCAR:
```
Tl2CdRu
1.0
3.579 0.000 0.000
0.000 3.789 0.000
0.000 0.000 5.894
Tl Cd Ru
2 1 1
direct
0.000 0.000 0.000
0.500 0.500 0.287
0.000 0.000 0.538
0.500 0.500 0.776
```

For the density of states at the Fermi level, the calculation gives 1.88 states/eV per cell. As for the symmetry: Pmm2 (25). The value obtained for the energy of formation from the pure elements is 171 kJ/mol of formula units. The raw total energy is -0.273 Ry/atom.

2.
DFT (PBEsol) results for crystalline CdRuW2 at its relaxed geometry.

Cell and atoms, written as POSCAR:
```
CdRuW2
1.0
2.793 0.000 0.000
0.000 2.793 0.000
0.000 0.000 8.187
Cd Ru W
1 1 2
direct
0.000 0.000 0.000
0.500 0.500 0.257
0.000 0.000 0.468
0.500 0.500 0.725
```

For the density of states at the Fermi level, the calculation gives 3.43 states/eV per cell. As for the symmetry: P4mm (99). The value obtained for the energy of formation from the pure elements is 131 kJ/mol of formula units. The raw total energy is -0.691 Ry/atom.

3.
DFT (PBEsol) results for crystalline CdRuW2 at its relaxed geometry.

Cell and atoms, written as POSCAR:
```
CdRuW2
1.0
3.041 0.000 0.000
0.000 4.484 0.000
0.000 0.000 9.367
Cd Ru W
2 2 4
direct
0.000 0.000 0.000
0.500 0.500 0.000
0.000 0.000 0.500
0.500 0.500 0.500
0.000 0.500 0.270
0.000 0.500 0.730
0.500 0.000 0.270
0.500 0.000 0.730
```

For the density of states at the Fermi level, the calculation gives 8.08 states/eV per cell. As for the symmetry: Cmmm (65). The value obtained for the energy of formation from the pure elements is 180 kJ/mol of formula units. The raw total energy is -0.682 Ry/atom.